# 1
{
  "formula": "Sr2BeRe",
  "functional": "PBE",
  "state": "optimized geometry",
  "rho_g_cm3": 6.63,
  "formation_enthalpy_0k_ev_per_fu": 6.4,
  "lattice_angstrom": [[-0.0576, -2.5708, 3.3169], [0.0367, -3.3174, -2.5705], [10.5248, -2.9598, 0.5437]],
  "species": ["Re", "Re", "Be", "Be", "Sr", "Sr", "Sr", "Sr"],
  "frac_coords": [[0.0000, 0.0000, 0.0000], [0.7500, 0.2500, 0.5000], [0.5000, 0.5000, 0.0000], [0.2500, 0.7500, 0.5000], [0.6228, 0.1250, 0.2500], [0.1272, 0.6250, 0.2500], [0.3750, 0.3772, 0.7500], [0.8750, 0.8728, 0.7500]]
}

# 2
{
  "formula": "Tl2GeTe5",
  "functional": "PBE",
  "state": "optimized geometry",
  "rho_g_cm3": 5.63,
  "e_above_lowest_polymorph_ev_per_atom": 0.1357,
  "raw_formation_energy_kj_per_mol_atoms": -2,
  "lattice_angstrom": [[-5.0232, 3.9597, 2.0585], [-3.3811, -1.3536, -5.6473], [1.0389, -7.0213, 5.0631]],
  "species": ["Tl", "Tl", "Ge", "Te", "Te", "Te", "Te", "Te"],
  "frac_coords": [[0.2164, 0.7164, 0.4321], [0.7164, 0.2164, 0.4321], [0.9466, 0.9466, 0.8940], [0.7641, 0.2990, 0.0631], [0.2989, 0.2989, 0.0631], [0.7640, 0.7640, 0.0631], [0.2990, 0.7641, 0.0631], [0.7716, 0.7716, 0.5433]]
}

# 3
{
  "formula": "Sr2AgPt",
  "functional": "PBE",
  "state": "optimized geometry",
  "rho_g_cm3": 6.31,
  "formation_enthalpy_0k_ev_per_fu": -1.6,
  "e_above_lowest_polymorph_ev_per_atom": 0.2041,
  "lattice_angstrom": [[4.4759, 0.0000, 0.0000], [0.0000, 4.4759, 0.0000], [0.0000, 0.0000, 6.2779]],
  "species": ["Ag", "Pt", "Sr", "Sr"],
  "frac_coords": [[0.0000, 0.0000, 0.3745], [0.5000, 0.5000, 0.8753], [0.0000, 0.0000, 0.8746], [0.5000, 0.5000, 0.3756]]
}

# 4
{
  "formula": "Nd2Dy2Tm2Th",
  "functional": "PBE",
  "state": "optimized geometry",
  "rho_g_cm3": 8.61,
  "formation_enthalpy_0k_ev_per_fu": 0.8,
  "lattice_angstrom": [[3.4612, 0.0000, 0.0000], [-1.7306, 15.0628, 0.9607], [0.0000, -7.9536, 3.8693]],
  "species": ["Nd", "Nd", "Dy", "Dy", "Tm", "Tm", "Th"],
  "frac_coords": [[0.5666, 0.1331, 0.3636], [0.4334, 0.8669, 0.6364], [0.6537, 0.3074, 0.2530], [0.3463, 0.6926, 0.7470], [0.2759, 0.5519, 0.9054], [0.7241, 0.4481, 0.0946], [0.0000, 0.0000, 0.5000]]
}

# 5
{
  "formula": "Ba2MgHgCl",
  "functional": "PBE",
  "state": "optimized geometry",
  "rho_g_cm3": 4.10,
  "raw_formation_energy_kj_per_mol_atoms": -53,
  "lattice_angstrom": [[6.0394, 0.0000, 0.0000], [0.0000, 5.9402, 0.0000], [0.0000, 0.0000, 6.0394]],
  "species": ["Mg", "Cl", "Hg", "Ba", "Ba"],
  "frac_coords": [[0.5000, 0.5000, 0.5000], [0.0000, 0.0000, 0.0000], [0.0000, 0.5000, 0.0000], [0.0000, 0.0000, 0.5000], [0.5000, 0.0000, 0.0000]]
}

# 6
{
  "formula": "Na2HoHfS4",
  "functional": "PBE",
  "state": "optimized geometry",
  "rho_g_cm3": 5.09,
  "raw_formation_energy_kj_per_mol_atoms": -157,
  "lattice_angstrom": [[3.7897, 0.0000, 0.0000], [0.0000, 6.6135, 0.1254], [0.0000, -2.3057, 6.6889]],
  "species": ["Na", "Na", "Ho", "Hf", "S", "S", "S", "S"],
  "frac_coords": [[0.5000, 0.0000, 0.5000], [0.0000, 0.5000, 0.5000], [0.0000, 0.0000, 0.0000], [0.5000, 0.5000, 0.0000], [0.5000, 0.2560, 0.2269], [0.5000, 0.7440, 0.7731], [0.0000, 0.2720, 0.7789], [0.0000, 0.7280, 0.2211]]
}

# 7
{
  "formula": "In2NiP",
  "functional": "PBE",
  "state": "optimized geometry",
  "rho_g_cm3": 6.61,
  "formation_enthalpy_0k_ev_per_fu": -0.1,
  "lattice_angstrom": [[0.4297, 0.0800, 5.0029], [1.9990, -2.3843, 3.9419], [5.0673, 2.4516, 1.8012]],
  "species": ["In", "In", "Ni", "P"],
  "frac_coords": [[0.0135, 0.0135, 0.9991], [0.1850, 0.1850, 0.3766], [0.4477, 0.4477, 0.4147], [0.8538, 0.8538, 0.7096]]
}

# 8
{
  "formula": "PmTm3Ni",
  "functional": "PBE",
  "state": "optimized geometry",
  "rho_g_cm3": 8.13,
  "formation_enthalpy_0k_ev_per_fu": -0.5,
  "e_above_lowest_polymorph_ev_per_atom": 0.0240,
  "lattice_angstrom": [[-2.0355, -4.6761, 1.2642], [4.7757, -1.7079, 1.3722], [-0.8103, 1.6806, 4.9118]],
  "species": ["Ni", "Tm", "Tm", "Tm", "Pm"],
  "frac_coords": [[0.0000, 0.0000, 0.0000], [0.0000, 0.5000, 0.0000], [0.0000, 0.0000, 0.5000], [0.5000, 0.0000, 0.0000], [0.5000, 0.5000, 0.5000]]
}

# 9
{
  "formula": "PuTlAuSe3",
  "functional": "PBE",
  "state": "optimized geometry",
  "rho_g_cm3": 8.98,
  "raw_formation_energy_kj_per_mol_atoms": -76,
  "lattice_angstrom": [[-0.8293, 0.3868, 4.0796], [0.5401, -7.4291, -1.3283], [10.5165, 0.3889, 2.1009]],
  "species": ["Pu", "Pu", "Tl", "Tl", "Au", "Au", "Se", "Se", "Se", "Se", "Se", "Se"],
  "frac_coords": [[0.0000, 0.0000, 0.5000], [0.0000, 0.0000, 0.0000], [0.7535, 0.5070, 0.7500], [0.2465, 0.4930, 0.2500], [0.4477, 0.8954, 0.7500], [0.5523, 0.1046, 0.2500], [0.6316, 0.2631, 0.4636], [0.3684, 0.7369, 0.5364], [0.3684, 0.7369, 0.9636], [0.6316, 0.2631, 0.0364], [0.0673, 0.1347, 0.7500], [0.9327, 0.8653, 0.2500]]
}

# 10
{
  "formula": "Mg5HgBi2Pd2",
  "functional": "PBE",
  "state": "optimized geometry",
  "rho_g_cm3": 7.22,
  "formation_enthalpy_0k_ev_per_fu": -3.5,
  "lattice_angstrom": [[3.3777, 0.0000, 0.0000], [0.0000, 11.3913, 0.0000], [0.0000, 0.0000, 11.3913]],
  "species": ["Mg", "Mg", "Mg", "Mg", "Mg", "Mg", "Mg", "Mg", "Mg", "Mg", "Hg", "Hg", "Bi", "Bi", "Bi", "Bi", "Pd", "Pd", "Pd", "Pd"],
  "frac_coords": [[0.5000, 0.2080, 0.0473], [0.5000, 0.7920, 0.9527], [0.5000, 0.0473, 0.7920], [0.5000, 0.7080, 0.4527], [0.5000, 0.9527, 0.2080], [0.5000, 0.2920, 0.5473], [0.5000, 0.5473, 0.7080], [0.5000, 0.4527, 0.2920], [0.5000, 0.5000, 0.0000], [0.5000, 0.0000, 0.5000], [0.0000, 0.0000, 0.0000], [0.0000, 0.5000, 0.5000], [0.0000, 0.6832, 0.1832], [0.0000, 0.3168, 0.8168], [0.0000, 0.1832, 0.3168], [0.0000, 0.8168, 0.6832], [0.0000, 0.1294, 0.6294], [0.0000, 0.8706, 0.3706], [0.0000, 0.6294, 0.8706], [0.0000, 0.3706, 0.1294]]
}

# 11
{
  "formula": "AcHoGe4",
  "functional": "PBE",
  "state": "optimized geometry",
  "rho_g_cm3": 7.74,
  "formation_enthalpy_0k_ev_per_fu": -3.3,
  "e_above_lowest_polymorph_ev_per_atom": 0.0000,
  "lattice_angstrom": [[-3.7218, -1.8853, -0.6351], [0.6861, -3.6876, 6.9265], [-8.1679, 13.4410, 7.9650]],
  "species": ["Ac", "Ac", "Ac", "Ac", "Ho", "Ho", "Ho", "Ho", "Ge", "Ge", "Ge", "Ge", "Ge", "Ge", "Ge", "Ge", "Ge", "Ge", "Ge", "Ge", "Ge", "Ge", "Ge", "Ge"],
  "frac_coords": [[0.0000, 0.6372, 0.3346], [0.0000, 0.3628, 0.6654], [0.0000, 0.1372, 0.1654], [0.0000, 0.8628, 0.8346], [0.0000, 0.6373, 0.0861], [0.0000, 0.3627, 0.9139], [0.0000, 0.1373, 0.4139], [0.0000, 0.8627, 0.5861], [0.5000, 0.7956, 0.1975], [0.5000, 0.2044, 0.8025], [0.5000, 0.2956, 0.3025], [0.5000, 0.7044, 0.6975], [0.5000, 0.9064, 0.0618], [0.5000, 0.0936, 0.9382], [0.5000, 0.4064, 0.4382], [0.5000, 0.5936, 0.5618], [0.5000, 0.8497, 0.4607], [0.5000, 0.1503, 0.5393], [0.5000, 0.3497, 0.0393], [0.5000, 0.6503, 0.9607], [0.5000, 0.9758, 0.3164], [0.5000, 0.0242, 0.6836], [0.5000, 0.4758, 0.1836], [0.5000, 0.5242, 0.8164]]
}

# 12
{
  "formula": "Tb2YEr6Tm",
  "functional": "PBE",
  "state": "optimized geometry",
  "rho_g_cm3": 8.35,
  "formation_enthalpy_0k_ev_per_fu": 1.2,
  "lattice_angstrom": [[-6.6299, 4.0948, 5.4076], [-1.4439, -7.9694, 3.1998], [6.5185, 4.6789, 3.3841]],
  "species": ["Tb", "Tb", "Tb", "Tb", "Y", "Y", "Er", "Er", "Er", "Er", "Er", "Er", "Er", "Er", "Er", "Er", "Er", "Er", "Tm", "Tm"],
  "frac_coords": [[0.4561, 0.8034, 0.6954], [0.0439, 0.3046, 0.1966], [0.5439, 0.1966, 0.3046], [0.9561, 0.6954, 0.8034], [0.2500, 0.9786, 0.0214], [0.7500, 0.0214, 0.9786], [0.0566, 0.1276, 0.7494], [0.4434, 0.2506, 0.8724], [0.9434, 0.8724, 0.2506], [0.5566, 0.7494, 0.1276], [0.3141, 0.9802, 0.4286], [0.1859, 0.5714, 0.0198], [0.6859, 0.0198, 0.5714], [0.8141, 0.4286, 0.9802], [0.1192, 0.7107, 0.4981], [0.3808, 0.5019, 0.2893], [0.8808, 0.2893, 0.5019], [0.6192, 0.4981, 0.7107], [0.2500, 0.4089, 0.5911], [0.7500, 0.5911, 0.4089]]
}